Entry from Alexandria: a geometry-optimized K2RbScV2O8 structure (GGA+U).

```
K2RbScV2O8
1.0
5.8630 0.0000 0.0000
-2.9315 5.0775 0.0000
0.0000 0.0000 7.6850
V O Sc K Rb
2 8 1 2 1
direct
0.3333 0.6667 0.2591 V
0.6667 0.3333 0.7409 V
0.1700 0.3401 0.3381 O
0.6599 0.8300 0.3381 O
0.8300 0.6599 0.6619 O
0.3401 0.1700 0.6619 O
0.6667 0.3333 0.9600 O
0.8300 0.1700 0.6619 O
0.3333 0.6667 0.0400 O
0.1700 0.8300 0.3381 O
0.0000 0.0000 0.5000 Sc
0.3333 0.6667 0.6954 K
0.6667 0.3333 0.3046 K
0.0000 0.0000 0.0000 Rb
```

Size of the total moment = 0.0 Bohr magnetons per cell
Electronic total energy = -96.4 eV per cell